Entry 1:
Below is crystalline Ac6Mg5Ga at its relaxed geometry, with properties calculated at the PBE-GGA level.

Output
Calculated total energy = -74.579 eV/cell
Magnetization = 0.00 μB per formula unit
Calculated density = 6.3 Mg/m³

Lattice parameters (Å, degrees): 5.7562 17.3014 8.1667 90.00 90.00 90.00
Space group Cmmm (No. 65)
Unique sites:
1 Ac 0.0000 0.0000 0.2385 x4
2 Ac 0.0000 0.3382 0.2445 x8
3 Mg 0.0000 0.1680 0.5000 x4
4 Mg 0.0000 0.1727 0.0000 x4
5 Mg 0.0000 0.5000 0.5000 x2
6 Ga 0.0000 0.5000 0.0000 x2


Entry 2:
Below is crystalline Zr2CoAg2 at its relaxed geometry, with properties calculated at the PBE-GGA level.

Output
Offset from the most stable computed form = 0.0000 eV/atom
Magnetization = 0.66 μB per formula unit
Calculated density = 7.9 Mg/m³

Lattice parameters (Å, degrees): 6.9537 6.9537 3.9980 90.00 90.00 90.00
Space group P4/mbm (No. 127)
Unique sites:
1 Zr 0.1752 0.3248 0.0000 x4
2 Co 0.0000 0.0000 0.5000 x2
3 Ag 0.1349 0.6349 0.5000 x4


| no. | N(E_F) (states/eV/cell) |
| --- | --- |
| 1 | 26.8 |
| 2 | 11.6 |